[1]
A relaxed MgAsPtBr2 crystal, computed with GGA-PBEsol.

Formation energy without anion corrections: 0.6023 eV/atom
DFT total energy: -2.90 eV/atom

Cell lengths 4.837, 4.837, 5.241 Å; angles 90.00, 90.00, 90.00 degrees
Sites, in units of the cell vectors:
1 Mg 0.000 0.000 0.000
2 As 0.000 0.000 0.500
3 Pt 0.500 0.500 0.500
4 Br 0.000 0.500 0.000
5 Br 0.500 0.000 0.000

[2]
A relaxed MgAs2PtBr crystal, computed with GGA-PBEsol.

Formation energy without anion corrections: 0.2955 eV/atom
DFT total energy: -3.86 eV/atom

Cell lengths 4.842, 4.842, 5.237 Å; angles 90.00, 90.00, 90.00 degrees
Sites, in units of the cell vectors:
1 Mg 0.000 0.000 0.000
2 As 0.000 0.500 0.500
3 As 0.500 0.000 0.500
4 Pt 0.500 0.500 0.500
5 Br 0.500 0.500 0.000

[3]
A relaxed MgReAs2Br crystal, computed with GGA-PBEsol.

Formation energy without anion corrections: 1.4222 eV/atom
DFT total energy: -4.00 eV/atom

Cell lengths 4.938, 4.938, 4.844 Å; angles 90.00, 90.00, 90.00 degrees
Sites, in units of the cell vectors:
1 Mg 0.000 0.000 0.000
2 Re 0.500 0.500 0.500
3 As 0.000 0.500 0.000
4 As 0.500 0.000 0.000
5 Br 0.000 0.000 0.500

[4]
A relaxed MgAsSeBr2 crystal, computed with GGA-PBEsol.

Formation energy without anion corrections: 0.1003 eV/atom
DFT total energy: -2.78 eV/atom

Cell lengths 4.862, 4.862, 5.576 Å; angles 90.00, 90.00, 90.00 degrees
Sites, in units of the cell vectors:
1 Mg 0.000 0.000 0.000
2 As 0.000 0.000 0.500
3 Se 0.500 0.500 0.500
4 Br 0.000 0.500 0.000
5 Br 0.500 0.000 0.000

[5]
A relaxed MgSnAsBr2 crystal, computed with GGA-PBEsol.

Formation energy without anion corrections: -0.2368 eV/atom
DFT total energy: -3.20 eV/atom

Cell lengths 4.954, 4.954, 5.420 Å; angles 90.00, 90.00, 90.00 degrees
Sites, in units of the cell vectors:
1 Mg 0.000 0.000 0.000
2 Sn 0.500 0.500 0.500
3 As 0.000 0.000 0.500
4 Br 0.000 0.500 0.000
5 Br 0.500 0.000 0.000

[6]
A relaxed MgZrAsBr2 crystal, computed with GGA-PBEsol.

Formation energy without anion corrections: -0.4506 eV/atom
DFT total energy: -4.38 eV/atom

Cell lengths 5.162, 5.162, 5.338 Å; angles 90.00, 90.00, 90.00 degrees
Sites, in units of the cell vectors:
1 Mg 0.000 0.000 0.000
2 Zr 0.500 0.500 0.500
3 As 0.500 0.500 0.000
4 Br 0.000 0.500 0.500
5 Br 0.500 0.000 0.500

[7]
A relaxed MnAs2Br crystal, computed with GGA-PBEsol.

Formation energy without anion corrections: 0.2655 eV/atom
DFT total energy: -5.20 eV/atom

Cell lengths 6.093, 6.093, 6.093 Å; angles 151.25, 135.65, 53.72 degrees
Sites, in units of the cell vectors:
1 Mn 0.000 0.000 0.000
2 As 0.202 0.702 0.500
3 As 0.798 0.298 0.500
4 Br 0.500 0.500 0.000

[8]
A relaxed MnAsBr4 crystal, computed with GGA-PBEsol.

Formation energy without anion corrections: 0.9941 eV/atom
DFT total energy: -2.73 eV/atom

Cell lengths 6.011, 6.011, 6.011 Å; angles 60.00, 60.00, 60.00 degrees
Sites, in units of the cell vectors:
1 Mn 0.000 0.000 0.000
2 As 0.250 0.250 0.250
3 Br 0.123 0.626 0.626
4 Br 0.626 0.123 0.626
5 Br 0.626 0.626 0.123
6 Br 0.626 0.626 0.626

- Which formula does entry 6 have?
  MgZrAsBr2